[1]
# PBE-GGA CeSm4P5, optimized geometry
data_CeSm4P5
_chemical_formula_sum 'Ce2 Sm8 P10'
_space_group_name_H-M_alt 'I 4/m'
_space_group_IT_number 87
_space_group_name_Hall '-I 4'
_cell_length_a 9.1667
_cell_length_b 9.1667
_cell_length_c 5.7986
_cell_angle_alpha 90.00
_cell_angle_beta 90.00
_cell_angle_gamma 90.00
loop_
_atom_site_label
_atom_site_fract_x
_atom_site_fract_y
_atom_site_fract_z
Ce1 0.0000 0.0000 0.0000
Sm1 0.0996 0.3010 0.5000
P1 0.0000 0.0000 0.5000
P2 0.0982 0.2962 0.0000
# - Energy relative to the elements: -1513 kJ/mol of formula units

***

[2]
# PBE-GGA Dy4TlNi, optimized geometry
data_Dy4TlNi
_chemical_formula_sum 'Dy8 Tl2 Ni2'
_space_group_name_H-M_alt 'P 1 21/c 1'
_space_group_IT_number 14
_cell_length_a 7.2294
_cell_length_b 7.1700
_cell_length_c 6.8340
_cell_angle_alpha 90.00
_cell_angle_beta 94.34
_cell_angle_gamma 90.00
loop_
_space_group_symop_operation_xyz
'x,y,z'
'-x,-y,-z'
'-x,y+1/2,-z+1/2'
'x,-y+1/2,z+1/2'
loop_
_atom_site_label
_atom_site_fract_x
_atom_site_fract_y
_atom_site_fract_z
Dy1 0.1381 0.1684 0.1830
Dy2 0.3154 0.6400 0.1013
Tl1 0.5000 0.0000 0.0000
Ni1 0.0000 0.0000 0.5000
# - Distance to the lowest polymorph of the same formula: 188 meV per atom
# - Energy relative to the elements: -72 kJ/mol of formula units

***

[3]
# PBE-GGA SrAc5S8, optimized geometry
data_SrAc5S8
_chemical_formula_sum 'Sr2 Ac10 S16'
_space_group_name_H-M_alt 'I -4'
_space_group_IT_number 82
_cell_length_a 9.0430
_cell_length_b 9.0430
_cell_length_c 9.0154
_cell_angle_alpha 90.00
_cell_angle_beta 90.00
_cell_angle_gamma 90.00
loop_
_space_group_symop_operation_xyz
'x,y,z'
'y,-x,-z'
'-x,-y,z'
'-y,x,-z'
'x+1/2,y+1/2,z+1/2'
'y+1/2,-x+1/2,-z+1/2'
'-x+1/2,-y+1/2,z+1/2'
'-y+1/2,x+1/2,-z+1/2'
loop_
_atom_site_label
_atom_site_fract_x
_atom_site_fract_y
_atom_site_fract_z
Sr1 0.0000 0.0000 0.0000
Ac1 0.0000 0.5000 0.7500
Ac2 0.1299 0.7513 0.3705
S1 0.0723 0.6748 0.0480
S2 0.0770 0.8250 0.6948
# - Energy relative to the elements, uncorrected: -2.1415 eV/atom

***

[4]
# PBE-GGA BHCl2, optimized geometry
data_BHCl2
_chemical_formula_sum 'B2 H2 Cl4'
_space_group_name_H-M_alt 'C 1 m 1'
_space_group_IT_number 8
_cell_length_a 7.8491
_cell_length_b 8.1433
_cell_length_c 4.6313
_cell_angle_alpha 90.00
_cell_angle_beta 124.56
_cell_angle_gamma 90.00
loop_
_space_group_symop_operation_xyz
'x,y,z'
'x,-y,z'
'x+1/2,y+1/2,z'
'x+1/2,-y+1/2,z'
loop_
_atom_site_label
_atom_site_fract_x
_atom_site_fract_y
_atom_site_fract_z
B1 0.0000 0.0000 0.0000
H1 0.1122 0.0000 0.3124
Cl1 0.4196 0.3143 0.7748
# - Distance to the lowest polymorph of the same formula: 0 meV per atom